Record 1
Below is crystalline Li5RuO5 at its relaxed geometry, with properties calculated at the PBE-GGA level.

a b c (Å): 5.297 5.297 5.871
angles (deg): 106.87 106.87 42.35
Fractional positions:
1 Li 0.000 0.000 0.000
2 Li 0.288 0.288 0.153
3 Li 0.303 0.303 0.640
4 Li 0.697 0.697 0.360
5 Li 0.712 0.712 0.847
6 Ru 0.000 0.000 0.500
7 O 0.145 0.145 0.325
8 O 0.153 0.153 0.819
9 O 0.500 0.500 0.500
10 O 0.847 0.847 0.181
11 O 0.855 0.855 0.675

Results
Its magnetization is 1.09 Bohr magnetons per cell. As for the space group: No. 12. For the uncorrected formation energy, the calculation gives -1.635 eV per atom.

***

Record 2
Below is crystalline Li3Ru2O8 at its relaxed geometry, with properties calculated at the PBE-GGA level.

a b c (Å): 6.693 6.693 8.534
angles (deg): 90.00 90.00 124.19
Fractional positions:
1 Li 0.000 0.000 0.000
2 Li 0.124 0.376 0.250
3 Li 0.376 0.124 0.750
4 Li 0.500 0.500 0.500
5 Li 0.624 0.876 0.250
6 Li 0.876 0.624 0.750
7 Ru 0.129 0.871 0.381
8 Ru 0.371 0.629 0.881
9 Ru 0.629 0.371 0.119
10 Ru 0.871 0.129 0.619
11 O 0.010 0.990 0.250
12 O 0.112 0.349 0.500
13 O 0.151 0.388 0.000
14 O 0.243 0.757 0.774
15 O 0.257 0.743 0.274
16 O 0.349 0.112 0.500
17 O 0.388 0.151 0.000
18 O 0.490 0.510 0.750
19 O 0.510 0.490 0.250
20 O 0.612 0.849 0.000
21 O 0.651 0.888 0.500
22 O 0.743 0.257 0.726
23 O 0.757 0.243 0.226
24 O 0.849 0.612 0.000
25 O 0.888 0.651 0.500
26 O 0.990 0.010 0.750

Results
Its magnetization is 5.91 Bohr magnetons per cell. As for the space group: No. 64. For the uncorrected formation energy, the calculation gives -1.206 eV per atom.

***

Record 3
Below is crystalline LiRu3O at its relaxed geometry, with properties calculated at the PBE-GGA level.

a b c (Å): 4.104 4.104 4.104
angles (deg): 90.00 90.00 90.00
Fractional positions:
1 Li 0.000 0.000 0.000
2 Ru 0.000 0.000 0.500
3 Ru 0.000 0.500 0.000
4 Ru 0.500 0.000 0.000
5 O 0.500 0.500 0.500

Results
Its magnetization is 3.86 Bohr magnetons per cell. As for the space group: No. 221. The calculation puts the offset from the most stable computed form at 1521 meV/atom. For the uncorrected formation energy, the calculation gives 1.786 eV per atom.

***

Record 4
Below is crystalline Li2RuO3 at its relaxed geometry, with properties calculated at the PBE-GGA level.

a b c (Å): 5.103 5.103 5.203
angles (deg): 99.45 99.45 119.90
Fractional positions:
1 Li 0.000 0.000 0.000
2 Li 0.160 0.840 0.500
3 Li 0.500 0.500 0.500
4 Li 0.840 0.160 0.500
5 Ru 0.334 0.666 0.000
6 Ru 0.666 0.334 0.000
7 O 0.079 0.423 0.235
8 O 0.264 0.264 0.762
9 O 0.423 0.079 0.235
10 O 0.577 0.921 0.765
11 O 0.736 0.736 0.238
12 O 0.921 0.577 0.765

Results
Its magnetization is 4.04 Bohr magnetons per cell. As for the space group: No. 12. The calculation puts the offset from the most stable computed form at 0 meV/atom. For the uncorrected formation energy, the calculation gives -1.504 eV per atom.

***

Record 5
Below is crystalline Li3RuO4 at its relaxed geometry, with properties calculated at the PBE-GGA level.

a b c (Å): 4.053 7.006 5.972
angles (deg): 90.00 90.00 90.00
Fractional positions:
1 Li 0.250 0.006 0.167
2 Li 0.250 0.494 0.167
3 Li 0.250 0.750 0.672
4 Li 0.750 0.250 0.328
5 Li 0.750 0.506 0.833
6 Li 0.750 0.994 0.833
7 Ru 0.250 0.250 0.666
8 Ru 0.750 0.750 0.334
9 O 0.250 0.022 0.823
10 O 0.250 0.250 0.355
11 O 0.250 0.478 0.823
12 O 0.250 0.750 0.332
13 O 0.750 0.250 0.668
14 O 0.750 0.522 0.177
15 O 0.750 0.750 0.645
16 O 0.750 0.978 0.177

Results
Its magnetization is 1.51 Bohr magnetons per cell. As for the space group: No. 59. The calculation puts the offset from the most stable computed form at 50 meV/atom. For the uncorrected formation energy, the calculation gives -1.536 eV per atom.

***

Record 6
Below is crystalline LiRu3O at its relaxed geometry, with properties calculated at the PBE-GGA level.

a b c (Å): 4.037 4.037 4.037
angles (deg): 90.00 90.00 90.00
Fractional positions:
1 Li 0.000 0.000 0.000
2 Ru 0.000 0.500 0.500
3 Ru 0.500 0.000 0.500
4 Ru 0.500 0.500 0.000
5 O 0.500 0.500 0.500

Results
Its magnetization is 0.00 Bohr magnetons per cell. As for the space group: No. 221. The calculation puts the offset from the most stable computed form at 0 meV/atom. For the uncorrected formation energy, the calculation gives 0.265 eV per atom.

***

Record 7
Below is crystalline Li3RuO at its relaxed geometry, with properties calculated at the PBE-GGA level.

a b c (Å): 4.790 4.790 4.790
angles (deg): 90.00 90.00 90.00
Fractional positions:
1 Li 0.000 0.000 0.500
2 Li 0.000 0.500 0.000
3 Li 0.500 0.000 0.000
4 Ru 0.000 0.000 0.000
5 O 0.500 0.500 0.500

Results
Its magnetization is 3.00 Bohr magnetons per cell. As for the space group: No. 221. The calculation puts the offset from the most stable computed form at 1269 meV/atom. For the uncorrected formation energy, the calculation gives 0.998 eV per atom.

***

Record 8
Below is crystalline Li2RuO3 at its relaxed geometry, with properties calculated at the PBE-GGA level.

a b c (Å): 5.083 5.083 5.202
angles (deg): 101.48 101.48 117.88
Fractional positions:
1 Li 0.079 0.921 0.750
2 Li 0.246 0.754 0.250
3 Li 0.754 0.246 0.750
4 Li 0.921 0.079 0.250
5 Ru 0.408 0.592 0.750
6 Ru 0.592 0.408 0.250
7 O 0.000 0.500 0.500
8 O 0.198 0.349 0.996
9 O 0.349 0.198 0.496
10 O 0.500 0.000 0.000
11 O 0.651 0.802 0.504
12 O 0.802 0.651 0.004

Results
Its magnetization is 2.69 Bohr magnetons per cell. As for the space group: No. 15. The calculation puts the offset from the most stable computed form at 14 meV/atom. For the uncorrected formation energy, the calculation gives -1.490 eV per atom.

***

Record 9
Below is crystalline Li35Ru12O48 at its relaxed geometry, with properties calculated at the PBE-GGA level.

a b c (Å): 10.312 10.312 9.871
angles (deg): 110.87 110.87 70.57
Fractional positions:
1 Li 0.000 0.000 0.000
2 Li 0.058 0.275 0.168
3 Li 0.090 0.078 0.335
4 Li 0.093 0.572 0.332
5 Li 0.128 0.872 0.500
6 Li 0.135 0.366 0.502
7 Li 0.168 0.168 0.668
8 Li 0.237 0.441 0.842
9 Li 0.256 0.241 0.002
10 Li 0.268 0.732 0.000
11 Li 0.297 0.036 0.168
12 Li 0.306 0.532 0.165
13 Li 0.333 0.335 0.334
14 Li 0.392 0.608 0.500
15 Li 0.424 0.413 0.673
16 Li 0.428 0.907 0.668
17 Li 0.468 0.694 0.835
18 Li 0.469 0.210 0.837
19 Li 0.559 0.763 0.158
20 Li 0.587 0.576 0.327
21 Li 0.594 0.070 0.332
22 Li 0.630 0.370 0.500
23 Li 0.634 0.865 0.498
24 Li 0.665 0.667 0.666
25 Li 0.725 0.942 0.832
26 Li 0.759 0.744 0.998
27 Li 0.760 0.240 0.000
28 Li 0.790 0.531 0.163
29 Li 0.802 0.031 0.167
30 Li 0.832 0.832 0.332
31 Li 0.891 0.109 0.500
32 Li 0.922 0.910 0.665
33 Li 0.930 0.406 0.668
34 Li 0.964 0.703 0.832
35 Li 0.969 0.198 0.833
36 Ru 0.018 0.483 0.999
37 Ru 0.041 0.793 0.167
38 Ru 0.181 0.650 0.663
39 Ru 0.207 0.959 0.833
40 Ru 0.350 0.819 0.337
41 Ru 0.374 0.128 0.502
42 Ru 0.517 0.982 0.001
43 Ru 0.540 0.293 0.165
44 Ru 0.686 0.149 0.666
45 Ru 0.707 0.460 0.835
46 Ru 0.851 0.314 0.334
47 Ru 0.872 0.626 0.498
48 O 0.005 0.732 0.503
49 O 0.046 0.546 0.657
50 O 0.062 0.032 0.677
51 O 0.091 0.338 0.844
52 O 0.101 0.824 0.825
53 O 0.124 0.618 0.007
54 O 0.136 0.104 0.991
55 O 0.162 0.411 0.157
56 O 0.176 0.899 0.175
57 O 0.214 0.713 0.328
58 O 0.229 0.199 0.344
59 O 0.254 0.506 0.507
60 O 0.268 0.995 0.497
61 O 0.287 0.786 0.672
62 O 0.304 0.274 0.660
63 O 0.323 0.581 0.818
64 O 0.343 0.063 0.841
65 O 0.382 0.876 0.993
66 O 0.392 0.358 0.011
67 O 0.419 0.677 0.182
68 O 0.437 0.155 0.161
69 O 0.454 0.954 0.343
70 O 0.469 0.438 0.324
71 O 0.494 0.746 0.493
72 O 0.510 0.231 0.507
73 O 0.549 0.046 0.661
74 O 0.562 0.531 0.676
75 O 0.589 0.838 0.843
76 O 0.606 0.320 0.823
77 O 0.622 0.118 0.007
78 O 0.642 0.608 0.989
79 O 0.662 0.909 0.156
80 O 0.680 0.394 0.177
81 O 0.716 0.210 0.327
82 O 0.726 0.696 0.340
83 O 0.756 0.003 0.507
84 O 0.769 0.490 0.493
85 O 0.790 0.284 0.673
86 O 0.801 0.771 0.656
87 O 0.830 0.076 0.823
88 O 0.845 0.563 0.839
89 O 0.882 0.378 0.993
90 O 0.896 0.864 0.009
91 O 0.924 0.170 0.177
92 O 0.937 0.657 0.159
93 O 0.954 0.451 0.339
94 O 0.968 0.938 0.323
95 O 0.997 0.244 0.493

Results
Its magnetization is 35.10 Bohr magnetons per cell. As for the space group: No. 5. For the uncorrected formation energy, the calculation gives -1.566 eV per atom.

***

Record 10
Below is crystalline Li2RuO at its relaxed geometry, with properties calculated at the PBE-GGA level.

a b c (Å): 5.424 5.424 5.424
angles (deg): 97.30 97.30 138.23
Fractional positions:
1 Li 0.004 0.625 0.879
2 Li 0.375 0.254 0.379
3 Li 0.746 0.125 0.121
4 Li 0.875 0.996 0.621
5 Ru 0.250 0.750 0.500
6 Ru 0.500 0.500 0.000
7 O 0.000 0.000 0.000
8 O 0.750 0.250 0.500

Results
Its magnetization is 0.00 Bohr magnetons per cell. As for the space group: No. 122. For the uncorrected formation energy, the calculation gives -0.480 eV per atom.

***

Record 11
Below is crystalline Li8RuO6 at its relaxed geometry, with properties calculated at the PBE-GGA level.

a b c (Å): 5.656 5.656 10.812
angles (deg): 90.00 90.00 120.00
Fractional positions:
1 Li 0.000 0.319 0.000
2 Li 0.000 0.383 0.365
3 Li 0.000 0.617 0.865
4 Li 0.000 0.681 0.500
5 Li 0.319 0.000 0.000
6 Li 0.319 0.319 0.500
7 Li 0.333 0.667 0.141
8 Li 0.333 0.667 0.641
9 Li 0.383 0.000 0.365
10 Li 0.383 0.383 0.865
11 Li 0.617 0.000 0.865
12 Li 0.617 0.617 0.365
13 Li 0.667 0.333 0.141
14 Li 0.667 0.333 0.641
15 Li 0.681 0.000 0.500
16 Li 0.681 0.681 0.000
17 Ru 0.000 0.000 0.219
18 Ru 0.000 0.000 0.719
19 O 0.000 0.000 0.407
20 O 0.000 0.000 0.907
21 O 0.000 0.327 0.186
22 O 0.000 0.673 0.686
23 O 0.327 0.000 0.186
24 O 0.327 0.327 0.686
25 O 0.333 0.667 0.452
26 O 0.333 0.667 0.952
27 O 0.667 0.333 0.452
28 O 0.667 0.333 0.952
29 O 0.673 0.000 0.686
30 O 0.673 0.673 0.186

Results
Its magnetization is 0.02 Bohr magnetons per cell. As for the space group: No. 185. For the uncorrected formation energy, the calculation gives -1.608 eV per atom.

***

Record 12
Below is crystalline Li11Ru8O24 at its relaxed geometry, with properties calculated at the PBE-GGA level.

a b c (Å): 5.154 8.832 9.853
angles (deg): 98.58 95.07 90.69
Fractional positions:
1 Li 0.000 0.000 0.000
2 Li 0.008 0.325 0.008
3 Li 0.200 0.909 0.504
4 Li 0.228 0.250 0.512
5 Li 0.299 0.582 0.511
6 Li 0.461 0.170 0.999
7 Li 0.496 0.495 0.013
8 Li 0.513 0.824 0.008
9 Li 0.726 0.425 0.510
10 Li 0.759 0.057 0.509
11 Li 0.978 0.681 0.023
12 Ru 0.105 0.763 0.757
13 Ru 0.120 0.476 0.762
14 Ru 0.385 0.711 0.262
15 Ru 0.393 0.058 0.260
16 Ru 0.612 0.948 0.756
17 Ru 0.619 0.292 0.759
18 Ru 0.840 0.193 0.255
19 Ru 0.876 0.535 0.262
20 O 0.017 0.382 0.371
21 O 0.073 0.071 0.371
22 O 0.094 0.702 0.373
23 O 0.155 0.173 0.141
24 O 0.170 0.540 0.146
25 O 0.231 0.859 0.149
26 O 0.284 0.646 0.896
27 O 0.310 0.948 0.868
28 O 0.317 0.328 0.874
29 O 0.401 0.779 0.649
30 O 0.418 0.429 0.643
31 O 0.470 0.099 0.639
32 O 0.525 0.901 0.369
33 O 0.571 0.221 0.394
34 O 0.579 0.573 0.373
35 O 0.660 0.029 0.122
36 O 0.677 0.669 0.142
37 O 0.708 0.353 0.140
38 O 0.761 0.140 0.875
39 O 0.817 0.818 0.877
40 O 0.819 0.465 0.875
41 O 0.917 0.912 0.650
42 O 0.921 0.292 0.649
43 O 0.951 0.593 0.626

Results
Its magnetization is 7.22 Bohr magnetons per cell. As for the space group: No. 1. For the uncorrected formation energy, the calculation gives -1.336 eV per atom.